Entry 1:
The following is a DFT calculation (GGA-PBE) of crystalline Nb3SeBr at its relaxed geometry.

a = 4.830 Å, b = 4.830 Å, c = 4.830 Å
α = 90.00°, β = 90.00°, γ = 90.00°
Space group Pm-3m (No. 221)
One atom of each set of equivalent atoms:
Nb 0.000 0.000 0.500 [3 per cell]
Se 0.000 0.000 0.000 [1 per cell]
Br 0.500 0.500 0.500 [1 per cell]

Values from the calculation:
Formation energy (no corrections) = 4.47 eV/f.u.
Crystal system = cubic

Entry 2:
The following is a DFT calculation (GGA-PBE) of crystalline BeCdAs2 at its relaxed geometry.

a = 4.221 Å, b = 3.581 Å, c = 5.406 Å
α = 90.00°, β = 107.61°, γ = 90.00°
Space group P2/m (No. 10)
One atom of each set of equivalent atoms:
Be 0.000 0.000 0.000 [1 per cell]
Cd 0.500 0.000 0.500 [1 per cell]
As 0.221 0.500 0.831 [2 per cell]

Values from the calculation:
Calculated formation energy = 16 kJ/mol of atoms
Crystal system = monoclinic

What did the second record say?
The following is a DFT calculation (GGA-PBE) of crystalline BeCdAs2 at its relaxed geometry.

a = 4.221 Å, b = 3.581 Å, c = 5.406 Å
α = 90.00°, β = 107.61°, γ = 90.00°
Space group P2/m (No. 10)
One atom of each set of equivalent atoms:
Be 0.000 0.000 0.000 [1 per cell]
Cd 0.500 0.000 0.500 [1 per cell]
As 0.221 0.500 0.831 [2 per cell]

Values from the calculation:
Calculated formation energy = 16 kJ/mol of atoms
Crystal system = monoclinic

Number 2 is which compound? BeCdAs2